SrYTe2: PBEsol geometry, SCAN.

ΔE to the lowest computed polymorph ... 5.2 kJ per mole of atoms
ΔE_f (raw) ... -1.62 eV/atom
ρ ... 5728 kg/m3
Symmetry ... P4/mmm, No. 123

Cell: 4.461 4.461 6.290 Å, 90.00 90.00 90.00°
Fractional coordinates of all 4 atoms:
Sr 0.000 0.000 0.000
Y 0.500 0.500 0.500
Te 0.000 0.000 0.500
Te 0.500 0.500 0.000

***

Y2Zr: PBEsol geometry, SCAN.

ΔE to the lowest computed polymorph ... 0.0 kJ per mole of atoms
ρ ... 5421 kg/m3
Symmetry ... C2/m, No. 12

Cell: 12.496 3.395 7.995 Å, 90.00 103.61 90.00°
Fractional coordinates of all 12 atoms:
Y 0.030 0.000 0.316
Y 0.143 0.500 0.030
Y 0.357 0.000 0.970
Y 0.470 0.500 0.684
Y 0.530 0.500 0.316
Y 0.643 0.000 0.030
Y 0.857 0.500 0.970
Y 0.970 0.000 0.684
Zr 0.200 0.500 0.629
Zr 0.300 0.000 0.371
Zr 0.700 0.000 0.629
Zr 0.800 0.500 0.371

***

Which of these has the highest ΔE to the lowest computed polymorph?
SrYTe2

***

What is the formula in the first record?
SrYTe2